DFT (PBE) results for a relaxed structure of TaFe.

```
12
Lattice="6.677 0.000 0.000 0.000 6.677 0.000 0.000 0.000 6.677" Properties=species:S:1:pos:R:3 pbc="T T T"
Ta 0.000 1.669 3.339
Ta 0.000 5.008 3.339
Ta 1.669 3.339 0.000
Ta 3.339 0.000 1.669
Ta 3.339 0.000 5.008
Ta 5.008 3.339 0.000
Fe 0.000 3.339 1.669
Fe 0.000 3.339 5.008
Fe 1.669 0.000 3.339
Fe 3.339 1.669 0.000
Fe 3.339 5.008 0.000
Fe 5.008 0.000 3.339
```

Properties
space-group type: No. 223
total DFT energy (no corrections): -8.354 eV per atom